VASP calculation (PBEsol) on a relaxed structure of CaZn3W.

a b c (Å): 4.8397 4.8397 4.8397
angles (deg): 90.00 90.00 90.00
Element x y z (fractional)
Zn 0.0000 0.5000 0.0000
Zn 0.0000 0.0000 0.5000
Zn 0.5000 0.0000 0.0000
Ca 0.5000 0.5000 0.5000
W 0.0000 0.0000 0.0000

Output
Calculated formation energy, eV per atom: 0.62
Total magnetization, μB/f.u.: 0.0
Volume, Å³/cell: 113.36
Symmetry: Pm-3m (221)
E, eV/atom: -3.517